# SrVClO3

SrVClO3 after structural relaxation (GGA+U, Alexandria).

Values from the calculation:
Raw total energy   -6.60 eV per atom
Fermi-level density of states   0.000 states/eV/cell
Size of the total moment   0.000 Bohr magnetons per cell

a = 5.3368 Å, b = 7.0733 Å, c = 10.2662 Å
α = 90.00°, β = 90.00°, γ = 90.00°
Closest atoms and distances in Å follow each position.
Sites, in units of the cell vectors:
1 O 0.2500 0.7400 0.1368  1 V 1.64
2 O 0.4950 0.5970 0.9008  2 V 1.87-1.93
3 O 0.2500 0.7600 0.6368  1 V 1.64
4 O 0.9950 0.0970 0.5992  2 V 1.87-1.93
5 O 0.4950 0.9030 0.4008  2 V 1.87-1.93
6 O 0.0050 0.9030 0.4008  2 V 1.87-1.93
7 O 0.9950 0.4030 0.0992  2 V 1.87-1.93
8 O 0.7500 0.2400 0.3632  1 V 1.64
9 O 0.5050 0.0970 0.5992  2 V 1.87-1.93
10 O 0.7500 0.2600 0.8632  1 V 1.64
11 O 0.5050 0.4030 0.0992  2 V 1.87-1.93
12 O 0.0050 0.5970 0.9008  2 V 1.87-1.93
13 V 0.2500 0.5592 0.0363  1 O 1.64
14 V 0.7500 0.0592 0.4637  1 O 1.64
15 V 0.2500 0.9408 0.5363  1 O 1.64
16 V 0.7500 0.4408 0.9637  1 O 1.64
17 Cl 0.2500 0.4323 0.3905  4 O 3.01-3.29, 4 Sr 3.02-3.16
18 Cl 0.2500 0.0677 0.8905  4 O 3.01-3.29, 4 Sr 3.02-3.16
19 Cl 0.7500 0.5677 0.6095  4 O 3.01-3.29, 4 Sr 3.02-3.16
20 Cl 0.7500 0.9323 0.1095  4 O 3.01-3.29, 4 Sr 3.02-3.16
21 Sr 0.2500 0.0980 0.1870  3 O 2.58-2.70
22 Sr 0.7500 0.5980 0.3130  3 O 2.58-2.70
23 Sr 0.7500 0.9020 0.8130  3 O 2.58-2.70
24 Sr 0.2500 0.4020 0.6870  3 O 2.58-2.70